Entry 1:
VASP calculation (PBE) on an optimized crystal structure of Cd3Br.

**E above lowest polymorph**: 82.9 meV per atom
**Space group**: Immm, No. 71
**Calculated total energy**: -4.9 eV/cell
**Formation energy from raw total energies**: -111 meV/atom
**Crystal system**: orthorhombic

a b c (Å): 5.878 5.878 5.878
angles (deg): 141.10 115.86 77.62
Atoms (fractional coordinates):
Br  0.000  0.000  0.000
Cd  0.743  0.243  0.500
Cd  0.257  0.757  0.500
Cd  0.500  0.500  0.000

Entry 2:
VASP calculation (PBE) on an optimized crystal structure of Cd8Br.

**Space group**: I4/mmm, No. 139
**Calculated total energy**: -8.8 eV/cell
**Formation energy from raw total energies**: 21 meV/atom
**Crystal system**: tetragonal

a b c (Å): 7.473 7.473 7.473
angles (deg): 94.95 94.95 145.83
Atoms (fractional coordinates):
Cd  0.000  0.661  0.661
Cd  0.661  0.000  0.661
Cd  0.000  0.339  0.339
Cd  0.326  0.326  0.652
Cd  0.326  0.674  0.000
Cd  0.674  0.674  0.348
Cd  0.674  0.326  0.000
Cd  0.339  0.000  0.339
Br  0.000  0.000  0.000

Entry 3:
VASP calculation (PBE) on an optimized crystal structure of CdBr2.

**Space group**: Cmcm, No. 63
**Calculated total energy**: -13.4 eV/cell
**Formation energy from raw total energies**: -812 meV/atom
**Crystal system**: orthorhombic

a b c (Å): 9.366 9.366 5.930
angles (deg): 90.00 90.00 155.52
Atoms (fractional coordinates):
Br  0.306  0.694  0.000
Br  0.682  0.318  0.500
Br  0.472  0.528  0.500
Br  0.096  0.904  0.000
Cd  0.709  0.291  0.000
Cd  0.068  0.932  0.500

- Look up the formation energy from raw total energies of the first one.
  -111 meV/atom